(a)
Y2MnInC: optimized geometry, PBE.

Computed properties:
density of states at the Fermi level	5.8	states/eV/cell

Cell: 4.888 4.570 4.888 Å, 90.00 90.00 90.00°
Site moments in Bohr magnetons follow the coordinates.
Atoms (fractional coordinates):
Y (0.000, 0.000, 0.500)  -0.07
Y (0.500, 0.000, 0.000)  -0.09
Mn (0.500, 0.500, 0.500)  3.92
In (0.000, 0.500, 0.000)  -0.04
C (0.000, 0.000, 0.000)  0.02

=====

(b)
Y2MnInC: optimized geometry, PBE.

Computed properties:
density of states at the Fermi level	2.9	states/eV/cell

Cell: 5.045 5.045 3.810 Å, 90.00 90.00 90.00°
Site moments in Bohr magnetons follow the coordinates.
Atoms (fractional coordinates):
C (0.000, 0.000, 0.000)  -0.04
Y (0.000, 0.500, 0.000)  -0.08
Y (0.500, 0.000, 0.000)  -0.08
In (0.500, 0.500, 0.500)  -0.05
Mn (0.000, 0.000, 0.500)  0.83

=====

Computed relative energies in units of meV per atom: (a) 510; (b) 0

=====

(a)
InC3N: optimized geometry, PBE.

Computed properties:
density of states at the Fermi level	5.3	states/eV/cell

Cell: 4.451 4.451 4.451 Å, 90.00 90.00 90.00°
Site moments in Bohr magnetons follow the coordinates.
Atoms (fractional coordinates):
C (0.000, 0.000, 0.500)  -0.61
C (0.000, 0.500, 0.000)  -0.57
C (0.500, 0.000, 0.000)  -0.62
N (0.500, 0.500, 0.500)  1.60
In (0.000, 0.000, 0.000)  0.02

=====

(b)
InC3N: optimized geometry, PBE.

Computed properties:
density of states at the Fermi level	3.0	states/eV/cell

Cell: 3.669 3.669 3.669 Å, 90.00 90.00 90.00°
Atoms (fractional coordinates):
In (0.500, 0.500, 0.500)
N (0.000, 0.000, 0.000)
C (0.500, 0.000, 0.000)
C (0.000, 0.500, 0.000)
C (0.000, 0.000, 0.500)

=====

Computed relative energies in units of meV per atom: (a) 1106; (b) 0

=====

(a)
InCSeN: optimized geometry, PBE.

Computed properties:
density of states at the Fermi level	0.0	states/eV/cell

Cell: 7.238 4.153 4.153 Å, 120.01 106.67 73.33°
Atoms (fractional coordinates):
Se (0.518, 0.243, 0.225)
N (0.866, 0.793, 0.674)
In (0.354, 0.631, 0.837)
C (0.037, 0.736, 0.731)

=====

(b)
InCSeN: optimized geometry, PBE.

Computed properties:
density of states at the Fermi level	0.0	states/eV/cell

Cell: 7.071 4.198 4.199 Å, 59.99 89.98 107.25°
Atoms (fractional coordinates):
N (0.039, 0.308, 0.179)
Se (0.518, 0.293, 0.687)
C (0.862, 0.190, 0.238)
In (0.357, 0.519, 0.074)

=====

Computed relative energies in units of meV per atom: (a) 0; (b) 81

=====

(a)
InCSeN: optimized geometry, PBE.

Computed properties:
density of states at the Fermi level	0.0	states/eV/cell

Cell: 4.788 4.797 6.128 Å, 67.10 66.90 90.02°
Atoms (fractional coordinates):
N (0.420, 0.567, 0.242)
C (0.300, 0.458, 0.473)
Se (0.116, 0.288, 0.827)
In (0.654, 0.815, 0.760)

=====

(b)
InCSeN: optimized geometry, PBE.

Computed properties:
density of states at the Fermi level	0.0	states/eV/cell

Cell: 7.989 4.173 4.174 Å, 119.99 74.86 121.53°
Atoms (fractional coordinates):
In (0.356, 0.450, 0.877)
C (0.038, 0.132, 0.878)
N (0.866, 0.961, 0.879)
Se (0.516, 0.945, 0.544)

=====

Computed relative energies in units of meV per atom: (a) 84; (b) 0

=====

(a)
InTe2CN: optimized geometry, PBE.

Computed properties:
density of states at the Fermi level	2.0	states/eV/cell

Cell: 6.706 6.706 2.677 Å, 90.00 90.00 90.00°
Atoms (fractional coordinates):
Te (0.500, 0.000, 0.000)
Te (0.000, 0.500, 0.000)
N (0.000, 0.000, 0.500)
In (0.500, 0.500, 0.500)
C (0.000, 0.000, 0.000)

=====

(b)
InTe2CN: optimized geometry, PBE.

Computed properties:
density of states at the Fermi level	3.4	states/eV/cell

Cell: 5.699 5.699 4.183 Å, 90.00 90.00 90.00°
Site moments in Bohr magnetons follow the coordinates.
Atoms (fractional coordinates):
In (0.000, 0.000, 0.000)  -0.02
N (0.000, 0.000, 0.500)  0.97
Te (0.500, 0.000, 0.000)  -0.17
Te (0.000, 0.500, 0.000)  -0.17
C (0.500, 0.500, 0.500)  0.70

=====

Computed relative energies in units of meV per atom: (a) 0; (b) 1411

=====

(a)
Nb2InC: optimized geometry, PBE.

Computed properties:
density of states at the Fermi level	2.0	states/eV/cell

Cell: 3.207 3.208 7.528 Å, 102.41 90.00 120.00°
Atoms (fractional coordinates):
In (0.500, 0.500, 0.000)
Nb (0.721, 0.942, 0.662)
Nb (0.279, 0.058, 0.338)
C (0.000, 0.500, 0.500)

=====

(b)
Nb2InC: optimized geometry, PBE.

Computed properties:
density of states at the Fermi level	2.2	states/eV/cell

Cell: 3.199 3.199 14.529 Å, 90.00 90.00 120.00°
Atoms (fractional coordinates):
In (0.667, 0.333, 0.250)
In (0.333, 0.667, 0.750)
C (0.000, 0.000, 0.000)
C (0.000, 0.000, 0.500)
Nb (0.333, 0.667, 0.417)
Nb (0.333, 0.667, 0.083)
Nb (0.667, 0.333, 0.583)
Nb (0.667, 0.333, 0.917)

=====

(c)
Nb2InC: optimized geometry, PBE.

Computed properties:
density of states at the Fermi level	5.4	states/eV/cell

Cell: 6.653 6.653 5.620 Å, 53.71 53.71 90.00°
Atoms (fractional coordinates):
Nb (0.375, 0.463, 0.750)
Nb (0.213, 0.625, 0.250)
Nb (0.875, 0.787, 0.750)
Nb (0.537, 0.125, 0.250)
In (0.750, 0.250, 0.500)
In (0.000, 0.000, 0.000)
C (0.250, 0.750, 0.500)
C (0.500, 0.500, 0.000)

=====

Computed relative energies in units of meV per atom: (a) 53; (b) 0; (c) 693

=====

(a)
Nb2InC: optimized geometry, PBE.

Computed properties:
density of states at the Fermi level	1.2	states/eV/cell

Cell: 3.188 3.188 7.532 Å, 77.78 77.78 60.00°
Atoms (fractional coordinates):
Nb (0.278, 0.278, 0.165)
Nb (0.055, 0.055, 0.834)
C (0.667, 0.667, 0.000)
In (0.500, 0.500, 0.501)

=====

(b)
Nb2InC: optimized geometry, PBE.

Computed properties:
density of states at the Fermi level	5.4	states/eV/cell

Cell: 4.495 4.495 4.495 Å, 60.00 60.00 60.00°
Atoms (fractional coordinates):
Nb (0.750, 0.750, 0.750)
Nb (0.250, 0.250, 0.250)
In (0.500, 0.500, 0.500)
C (0.000, 0.000, 0.000)

=====

Computed relative energies in units of meV per atom: (a) 0; (b) 1601

=====

(a)
Nb2In2C: optimized geometry, PBE.

Computed properties:
density of states at the Fermi level	5.3	states/eV/cell

Cell: 3.647 3.647 8.153 Å, 77.08 77.08 90.00°
Site moments in Bohr magnetons follow the coordinates.
Atoms (fractional coordinates):
Nb (0.250, 0.750, 0.500)  0.06
Nb (0.750, 0.250, 0.500)  0.06
In (0.589, 0.589, 0.823)  -0.01
In (0.411, 0.411, 0.177)  -0.01
C (0.000, 0.000, 0.000)  0.28

=====

(b)
Nb2In2C: optimized geometry, PBE.

Computed properties:
density of states at the Fermi level	7.9	states/eV/cell

Cell: 6.234 6.234 4.821 Å, 90.00 90.00 90.00°
Atoms (fractional coordinates):
Nb (0.153, 0.653, 0.500)
Nb (0.347, 0.153, 0.500)
Nb (0.653, 0.847, 0.500)
Nb (0.847, 0.347, 0.500)
In (0.841, 0.659, 0.000)
In (0.159, 0.341, 0.000)
In (0.659, 0.159, 0.000)
In (0.341, 0.841, 0.000)
C (0.500, 0.500, 0.000)
C (0.000, 0.000, 0.000)

=====

Computed relative energies in units of meV per atom: (a) 254; (b) 0